Density functional theory data (PBE) for crystalline TmInTe at its relaxed geometry.

## Properties
The magnetic moment comes out at 0.00 Bohr magnetons per cell. As for the density of states at the Fermi level: 0.8 states/eV/f.u. Its crystal system is trigonal. As for the formation energy from raw total energies: -63.6 kJ/mol of atoms. The electronic total energy comes out at -4.110 eV per atom. As for the space group: R-3m (166).

a = 4.5618 Å, b = 4.5618 Å, c = 11.5710 Å
α = 78.63°, β = 78.63°, γ = 60.00°
Atoms (fractional coordinates):
Tm  0.5699  0.5699  0.2904
Tm  0.4301  0.4301  0.7096
Te  0.2787  0.2787  0.1640
Te  0.7213  0.7213  0.8360
In  0.8474  0.8474  0.4579
In  0.1526  0.1526  0.5421